Density functional theory data (PBE) for a geometry-optimized GeH4NF3 structure.

Unit cell a=4.692 b=4.762 c=4.803 alpha=81.23 beta=80.51 gamma=78.90
Atoms (fractional coordinates):
Ge1 0.000 0.000 0.000
H1 0.320 0.665 0.508
H2 0.516 0.407 0.725
H3 0.561 0.396 0.366
H4 0.686 0.651 0.497
N1 0.520 0.529 0.526
F1 0.595 0.174 0.066
F2 0.911 0.638 0.984
F3 0.989 0.899 0.406

Values from the calculation:
Polymorph energy (0 for the lowest one) = 0.0176 eV per atom
Space-group type = P1 (1)
Calculated total energy = -4.903 eV per atom